i:
Density functional theory data (GGA-PBE) for a relaxed Mg6In3Ag crystal.

Lattice parameters (Å, degrees): 4.5168 9.7679 10.1383 93.50 90.00 90.00
Sites, in units of the cell vectors:
1 Mg 0.7500 0.1275 0.6763
2 Mg 0.7500 0.5506 0.9000
3 Mg 0.2500 0.4494 0.1000
4 Mg 0.7500 0.9486 0.1092
5 Mg 0.2500 0.6577 0.6959
6 Mg 0.7500 0.8506 0.8038
7 Mg 0.2500 0.0514 0.8908
8 Mg 0.7500 0.3423 0.3041
9 Mg 0.2500 0.8725 0.3237
10 Mg 0.7500 0.7815 0.5071
11 Mg 0.2500 0.2185 0.4929
12 Mg 0.2500 0.1494 0.1962
13 In 0.2500 0.5493 0.4018
14 In 0.2500 0.7569 0.0009
15 In 0.7500 0.2431 0.9991
16 In 0.7500 0.6535 0.2102
17 In 0.7500 0.4507 0.5982
18 In 0.2500 0.3465 0.7898
19 Ag 0.2500 0.9415 0.6177
20 Ag 0.7500 0.0585 0.3823

---

ii:
Density functional theory data (GGA-PBE) for a relaxed Mg6In3Ag crystal.

Lattice parameters (Å, degrees): 3.2573 13.5171 12.6149 123.78 90.00 90.00
Sites, in units of the cell vectors:
1 In 0.2500 0.7956 0.8470
2 In 0.2500 0.3655 0.5873
3 In 0.2500 0.5156 0.1371
4 In 0.7500 0.6345 0.4127
5 In 0.7500 0.4844 0.8629
6 In 0.7500 0.2044 0.1530
7 Mg 0.7500 0.8426 0.6786
8 Mg 0.2500 0.7102 0.0194
9 Mg 0.7500 0.2898 0.9806
10 Mg 0.7500 0.9473 0.0961
11 Mg 0.2500 0.4185 0.3619
12 Mg 0.2500 0.9029 0.5062
13 Mg 0.2500 0.1574 0.3214
14 Mg 0.2500 0.2548 0.7489
15 Mg 0.2500 0.0527 0.9039
16 Mg 0.7500 0.5815 0.6381
17 Mg 0.7500 0.0971 0.4938
18 Mg 0.7500 0.7452 0.2511
19 Ag 0.2500 0.9278 0.2790
20 Ag 0.7500 0.0722 0.7210

---

Stability summary: most stable i, least stable ii.